No. 1
Here is a geometry-optimized HoScBi structure from the Alexandria database. Energies are from PBE-GGA.

```
data_HoScBi
_chemical_formula_sum 'Ho2 Sc2 Bi2'
_space_group_name_H-M_alt 'P 1'
_space_group_IT_number 1
_cell_length_a 4.4146
_cell_length_b 4.4140
_cell_length_c 8.3232
_cell_angle_alpha 90.00
_cell_angle_beta 90.00
_cell_angle_gamma 90.00
loop_
_space_group_symop_operation_xyz
'x,y,z'
loop_
_atom_site_label
_atom_site_type_symbol
_atom_site_fract_x
_atom_site_fract_y
_atom_site_fract_z
_atom_site_occupancy
Bi1 Bi 0.7499 0.2500 0.2287 1
Sc1 Sc 0.7500 0.7500 0.5000 1
Ho1 Ho 0.7501 0.2500 0.8439 1
Bi2 Bi 0.2501 0.7500 0.7713 1
Sc2 Sc 0.2500 0.2500 0.5000 1
Ho2 Ho 0.2499 0.7500 0.1561 1
```

Spin magnetization ... 0.7 μB/cell
Formation energy ... -0.611 eV/atom
DOS at the Fermi energy ... 2.31 states/eV/f.u.
Volume ... 162 Å³/cell

No. 2
Here is a geometry-optimized Ho2ScBi3 structure from the Alexandria database. Energies are from PBE-GGA.

```
data_Ho2ScBi3
_chemical_formula_sum 'Ho2 Sc1 Bi3'
_space_group_name_H-M_alt 'P 1'
_space_group_IT_number 1
_cell_length_a 4.3957
_cell_length_b 6.2347
_cell_length_c 7.6192
_cell_angle_alpha 114.15
_cell_angle_beta 106.77
_cell_angle_gamma 90.00
loop_
_space_group_symop_operation_xyz
'x,y,z'
loop_
_atom_site_label
_atom_site_type_symbol
_atom_site_fract_x
_atom_site_fract_y
_atom_site_fract_z
_atom_site_occupancy
Sc1 Sc 0.5000 0.5000 0.5000 1
Bi1 Bi 0.8407 0.3407 0.1814 1
Bi2 Bi 0.1593 0.6593 0.8186 1
Ho1 Ho 0.8311 0.8311 0.1621 1
Ho2 Ho 0.1689 0.1689 0.8379 1
Bi3 Bi 0.5000 0.0000 0.5000 1
```

Spin magnetization ... 0.0 μB/cell
Formation energy ... -0.768 eV/atom
DOS at the Fermi energy ... 1.33 states/eV/f.u.
Volume ... 181 Å³/cell

No. 3
Here is a geometry-optimized Ho5Sc3Bi8 structure from the Alexandria database. Energies are from PBE-GGA.

```
data_Ho5Sc3Bi8
_chemical_formula_sum 'Ho5 Sc3 Bi8'
_space_group_name_H-M_alt 'P 1'
_space_group_IT_number 1
_cell_length_a 8.7840
_cell_length_b 8.7840
_cell_length_c 8.7825
_cell_angle_alpha 59.99
_cell_angle_beta 59.99
_cell_angle_gamma 60.00
loop_
_space_group_symop_operation_xyz
'x,y,z'
loop_
_atom_site_label
_atom_site_type_symbol
_atom_site_fract_x
_atom_site_fract_y
_atom_site_fract_z
_atom_site_occupancy
Bi1 Bi 0.7589 0.2500 0.7411 1
Bi2 Bi 0.2500 0.2500 0.7411 1
Sc1 Sc 0.5000 0.0000 0.5000 1
Ho1 Ho 0.5000 0.5000 0.0000 1
Bi3 Bi 0.2500 0.7589 0.7411 1
Ho2 Ho 0.0000 0.5000 0.0000 1
Ho3 Ho 0.0000 0.0000 0.0000 1
Sc2 Sc 0.0000 0.5000 0.5000 1
Bi4 Bi 0.7500 0.7500 0.2589 1
Ho4 Ho 0.5000 0.0000 0.0000 1
Bi5 Bi 0.7500 0.2411 0.2589 1
Ho5 Ho 0.5000 0.5000 0.5000 1
Bi6 Bi 0.2456 0.2456 0.2633 1
Bi7 Bi 0.7544 0.7544 0.7367 1
Sc3 Sc 0.0000 0.0000 0.5000 1
Bi8 Bi 0.2411 0.7500 0.2589 1
```

Spin magnetization ... 0.0 μB/cell
Formation energy ... -0.762 eV/atom
DOS at the Fermi energy ... 3.91 states/eV/f.u.
Volume ... 479 Å³/cell

No. 4
Here is a geometry-optimized HoSc2Bi structure from the Alexandria database. Energies are from PBE-GGA.

```
data_HoSc2Bi
_chemical_formula_sum 'Ho1 Sc2 Bi1'
_space_group_name_H-M_alt 'P 1'
_space_group_IT_number 1
_cell_length_a 3.3864
_cell_length_b 3.3864
_cell_length_c 11.5401
_cell_angle_alpha 81.56
_cell_angle_beta 81.56
_cell_angle_gamma 60.00
loop_
_space_group_symop_operation_xyz
'x,y,z'
loop_
_atom_site_label
_atom_site_type_symbol
_atom_site_fract_x
_atom_site_fract_y
_atom_site_fract_z
_atom_site_occupancy
Bi1 Bi 0.5000 0.5000 0.5000 1
Sc1 Sc 0.9066 0.9066 0.2802 1
Ho1 Ho 0.0000 0.0000 0.0000 1
Sc2 Sc 0.0934 0.0934 0.7198 1
```

Distance to the lowest polymorph of the same formula ... 0.601 eV/atom
Spin magnetization ... 1.8 μB/cell
Formation energy ... 0.150 eV/atom
DOS at the Fermi energy ... 6.19 states/eV/f.u.
Volume ... 113 Å³/cell

No. 5
Here is a geometry-optimized Ho3ScBi4 structure from the Alexandria database. Energies are from PBE-GGA.

```
data_Ho3ScBi4
_chemical_formula_sum 'Ho3 Sc1 Bi4'
_space_group_name_H-M_alt 'P 1'
_space_group_IT_number 1
_cell_length_a 6.2473
_cell_length_b 6.2473
_cell_length_c 6.2473
_cell_angle_alpha 90.00
_cell_angle_beta 90.00
_cell_angle_gamma 90.00
loop_
_space_group_symop_operation_xyz
'x,y,z'
loop_
_atom_site_label
_atom_site_type_symbol
_atom_site_fract_x
_atom_site_fract_y
_atom_site_fract_z
_atom_site_occupancy
Ho1 Ho 0.5000 0.5000 0.0000 1
Bi1 Bi 0.5000 0.0000 0.0000 1
Sc1 Sc 0.0000 0.0000 0.0000 1
Bi2 Bi 0.0000 0.0000 0.5000 1
Ho2 Ho 0.5000 0.0000 0.5000 1
Ho3 Ho 0.0000 0.5000 0.5000 1
Bi3 Bi 0.0000 0.5000 0.0000 1
Bi4 Bi 0.5000 0.5000 0.5000 1
```

Spin magnetization ... 0.0 μB/cell
Formation energy ... -0.782 eV/atom
DOS at the Fermi energy ... 0.41 states/eV/f.u.
Volume ... 244 Å³/cell

No. 6
Here is a geometry-optimized HoScBi structure from the Alexandria database. Energies are from PBE-GGA.

```
data_HoScBi
_chemical_formula_sum 'Ho1 Sc1 Bi1'
_space_group_name_H-M_alt 'P 1'
_space_group_IT_number 1
_cell_length_a 3.9273
_cell_length_b 3.9273
_cell_length_c 5.9309
_cell_angle_alpha 109.34
_cell_angle_beta 109.34
_cell_angle_gamma 90.00
loop_
_space_group_symop_operation_xyz
'x,y,z'
loop_
_atom_site_label
_atom_site_type_symbol
_atom_site_fract_x
_atom_site_fract_y
_atom_site_fract_z
_atom_site_occupancy
Sc1 Sc 0.9626 0.9626 0.9252 1
Ho1 Ho 0.2805 0.2805 0.5609 1
Bi1 Bi 0.6069 0.6069 0.2138 1
```

Spin magnetization ... 1.0 μB/cell
Formation energy ... -0.414 eV/atom
DOS at the Fermi energy ... 2.22 states/eV/f.u.
Volume ... 81 Å³/cell

No. 7
Here is a geometry-optimized Ho5ScBi6 structure from the Alexandria database. Energies are from PBE-GGA.

```
data_Ho5ScBi6
_chemical_formula_sum 'Ho5 Sc1 Bi6'
_space_group_name_H-M_alt 'P 1'
_space_group_IT_number 1
_cell_length_a 7.6772
_cell_length_b 7.6767
_cell_length_c 7.6770
_cell_angle_alpha 60.00
_cell_angle_beta 80.39
_cell_angle_gamma 70.50
loop_
_space_group_symop_operation_xyz
'x,y,z'
loop_
_atom_site_label
_atom_site_type_symbol
_atom_site_fract_x
_atom_site_fract_y
_atom_site_fract_z
_atom_site_occupancy
Bi1 Bi 0.2445 0.5926 0.3263 1
Ho1 Ho 0.5000 0.8300 0.3399 1
Bi2 Bi 0.7555 0.0810 0.3263 1
Bi3 Bi 0.2480 0.2428 0.0000 1
Bi4 Bi 0.2445 0.9190 0.6737 1
Sc1 Sc 0.0000 0.0000 0.0000 1
Bi5 Bi 0.7555 0.4074 0.6737 1
Ho2 Ho 0.5000 0.5000 0.0000 1
Bi6 Bi 0.7520 0.7572 0.0000 1
Ho3 Ho 0.0000 0.3346 0.3309 1
Ho4 Ho 0.5000 0.1700 0.6601 1
Ho5 Ho 0.0000 0.6654 0.6691 1
```

Spin magnetization ... 0.0 μB/cell
Formation energy ... -0.802 eV/atom
DOS at the Fermi energy ... 2.24 states/eV/f.u.
Volume ... 369 Å³/cell

No. 8
Here is a geometry-optimized Ho3Sc2Bi4 structure from the Alexandria database. Energies are from PBE-GGA.

```
data_Ho3Sc2Bi4
_chemical_formula_sum 'Ho3 Sc2 Bi4'
_space_group_name_H-M_alt 'P 1'
_space_group_IT_number 1
_cell_length_a 4.3902
_cell_length_b 7.6771
_cell_length_c 9.9074
_cell_angle_alpha 123.98
_cell_angle_beta 90.00
_cell_angle_gamma 106.61
loop_
_space_group_symop_operation_xyz
'x,y,z'
loop_
_atom_site_label
_atom_site_type_symbol
_atom_site_fract_x
_atom_site_fract_y
_atom_site_fract_z
_atom_site_occupancy
Bi1 Bi 0.9442 0.8884 0.6169 1
Bi2 Bi 0.3267 0.6534 0.9433 1
Bi3 Bi 0.6733 0.3466 0.0567 1
Bi4 Bi 0.0558 0.1116 0.3831 1
Ho1 Ho 0.0000 0.0000 0.0000 1
Sc1 Sc 0.3164 0.6329 0.6408 1
Ho2 Ho 0.3553 0.7106 0.2990 1
Ho3 Ho 0.6447 0.2894 0.7010 1
Sc2 Sc 0.6836 0.3671 0.3592 1
```

Spin magnetization ... 0.0 μB/cell
Formation energy ... -0.615 eV/atom
DOS at the Fermi energy ... 6.98 states/eV/f.u.
Volume ... 260 Å³/cell